An optimized crystal structure of LaNdDyTh. Source: Alexandria via LeMat-Bulk, functional PBE.

Results
M_tot: 0.00 μB per atom
polymorph energy (0 for the lowest one): 0.0 meV/atom
formation enthalpy at 0 K: 0.03 eV/atom

Cell and atoms, written as CIF:
```
data_LaNdDyTh
_chemical_formula_sum 'La1 Nd1 Dy1 Th1'
_symmetry_space_group_name_H-M 'P 4 m m'
_symmetry_Int_Tables_number 99
_cell_length_a 3.6206
_cell_length_b 3.6206
_cell_length_c 10.3914
_cell_angle_alpha 90.00
_cell_angle_beta 90.00
_cell_angle_gamma 90.00
loop_
_symmetry_equiv_pos_as_xyz
'x,y,z'
'-y,x,z'
'-x,-y,z'
'y,-x,z'
'-x,y,z'
'y,x,z'
'x,-y,z'
'-y,-x,z'
loop_
_atom_site_label
_atom_site_type_symbol
_atom_site_fract_x
_atom_site_fract_y
_atom_site_fract_z
La1 La 0.0000 0.0000 0.0000
Nd1 Nd 0.5000 0.5000 0.7299
Dy1 Dy 0.5000 0.5000 0.2592
Th1 Th 0.0000 0.0000 0.4908
```



An optimized crystal structure of RbLi2PuI6. Source: Alexandria via LeMat-Bulk, functional PBE.

Results
formation energy from raw total energies: -1.166 eV per atom
M_tot: 0.50 μB per atom

Cell and atoms, written as CIF:
```
data_RbLi2PuI6
_chemical_formula_sum 'Rb3 Li6 Pu3 I18'
_symmetry_space_group_name_H-M 'R 3'
_symmetry_Int_Tables_number 146
_symmetry_space_group_name_Hall 'R 3'
_cell_length_a 7.9775
_cell_length_b 7.9775
_cell_length_c 21.9449
_cell_angle_alpha 90.00
_cell_angle_beta 90.00
_cell_angle_gamma 120.00
loop_
_atom_site_label
_atom_site_type_symbol
_atom_site_fract_x
_atom_site_fract_y
_atom_site_fract_z
Rb1 Rb 0.0000 0.0000 0.0000
Li1 Li 0.0000 0.0000 0.2857
Li2 Li 0.0000 0.0000 0.7956
Pu1 Pu 0.0000 0.0000 0.4760
I1 I 0.0053 0.5777 0.0493
I2 I 0.0153 0.3395 0.8776
```



An optimized crystal structure of Ca3P2O8. Source: Alexandria via LeMat-Bulk, functional PBE.

Results
formation energy from raw total energies: -2.821 eV per atom
M_tot: 0.00 μB per atom
polymorph energy (0 for the lowest one): 72.1 meV/atom

Cell and atoms, written as CIF:
```
data_Ca3P2O8
_chemical_formula_sum 'Ca6 P4 O16'
_symmetry_space_group_name_H-M 'C 1 2 1'
_symmetry_Int_Tables_number 5
_cell_length_a 5.6278
_cell_length_b 8.8989
_cell_length_c 7.2294
_cell_angle_alpha 90.00
_cell_angle_beta 90.15
_cell_angle_gamma 90.00
loop_
_symmetry_equiv_pos_as_xyz
'x,y,z'
'-x,y,-z'
'x+1/2,y+1/2,z'
'-x+1/2,y+1/2,-z'
loop_
_atom_site_label
_atom_site_type_symbol
_atom_site_fract_x
_atom_site_fract_y
_atom_site_fract_z
Ca1 Ca 0.0000 0.0000 0.0000
Ca2 Ca 0.0003 0.6815 0.2724
P1 P 0.0000 0.0402 0.5000
P2 P 0.0000 0.3414 0.0000
O1 O 0.0019 0.9435 0.6804
O2 O 0.0036 0.4395 0.8276
O3 O 0.2252 0.2330 0.0017
O4 O 0.2260 0.1406 0.4992
```



An optimized crystal structure of RbY2ZrMo. Source: Alexandria via LeMat-Bulk, functional PBE.

Results
M_tot: 0.13 μB per atom
formation enthalpy at 0 K: 1.91 eV/atom

Cell and atoms, written as CIF:
```
data_RbY2ZrMo
_chemical_formula_sum 'Rb1 Y2 Zr1 Mo1'
_symmetry_space_group_name_H-M 'P 4/m m m'
_symmetry_Int_Tables_number 123
_symmetry_space_group_name_Hall '-P 4 2'
_cell_length_a 5.3098
_cell_length_b 5.3098
_cell_length_c 4.8751
_cell_angle_alpha 90.00
_cell_angle_beta 90.00
_cell_angle_gamma 90.00
loop_
_atom_site_label
_atom_site_type_symbol
_atom_site_fract_x
_atom_site_fract_y
_atom_site_fract_z
Rb1 Rb 0.0000 0.0000 0.0000
Y1 Y 0.0000 0.5000 0.0000
Zr1 Zr 0.5000 0.5000 0.5000
Mo1 Mo 0.0000 0.0000 0.5000
```



An optimized crystal structure of CeDyInCu. Source: Alexandria via LeMat-Bulk, functional PBE.

Results
M_tot: 0.32 μB per atom
formation enthalpy at 0 K: -0.19 eV/atom

Cell and atoms, written as CIF:
```
data_CeDyInCu
_chemical_formula_sum 'Ce4 Dy4 In4 Cu4'
_symmetry_space_group_name_H-M 'F -4 3 m'
_symmetry_Int_Tables_number 216
_symmetry_space_group_name_Hall 'F -4 2 3'
_cell_length_a 7.3904
_cell_length_b 7.3904
_cell_length_c 7.3904
_cell_angle_alpha 90.00
_cell_angle_beta 90.00
_cell_angle_gamma 90.00
loop_
_atom_site_label
_atom_site_type_symbol
_atom_site_fract_x
_atom_site_fract_y
_atom_site_fract_z
Ce1 Ce 0.0000 0.0000 0.0000
Dy1 Dy 0.0000 0.0000 0.5000
In1 In 0.2500 0.2500 0.7500
Cu1 Cu 0.2500 0.2500 0.2500
```



An optimized crystal structure of KNa4Cd. Source: Alexandria via LeMat-Bulk, functional PBE.

Results
M_tot: 0.00 μB per atom
polymorph energy (0 for the lowest one): 0.0 meV/atom
formation enthalpy at 0 K: 0.00 eV/atom

Cell and atoms, written as CIF:
```
data_KNa4Cd
_chemical_formula_sum 'K4 Na16 Cd4'
_symmetry_space_group_name_H-M 'C 1 2/m 1'
_symmetry_Int_Tables_number 12
_cell_length_a 16.8059
_cell_length_b 8.6860
_cell_length_c 6.6805
_cell_angle_alpha 90.00
_cell_angle_beta 108.02
_cell_angle_gamma 90.00
loop_
_symmetry_equiv_pos_as_xyz
'x,y,z'
'-x,-y,-z'
'-x,y,-z'
'x,-y,z'
'x+1/2,y+1/2,z'
'-x+1/2,-y+1/2,-z'
'-x+1/2,y+1/2,-z'
'x+1/2,-y+1/2,z'
loop_
_atom_site_label
_atom_site_type_symbol
_atom_site_fract_x
_atom_site_fract_y
_atom_site_fract_z
K1 K 0.2216 0.0000 0.1603
Na1 Na 0.0000 0.2046 0.0000
Na2 Na 0.1085 0.2009 0.5691
Na3 Na 0.1593 0.5000 0.2257
Cd1 Cd 0.0295 0.5000 0.7332
```



An optimized crystal structure of KY2ZnTe4. Source: Alexandria via LeMat-Bulk, functional PBE.

Results
formation energy from raw total energies: -1.083 eV per atom
M_tot: 0.00 μB per atom

Cell and atoms, written as CIF:
```
data_KY2ZnTe4
_chemical_formula_sum 'K4 Y8 Zn4 Te16'
_symmetry_space_group_name_H-M 'C m c m'
_symmetry_Int_Tables_number 63
_symmetry_space_group_name_Hall '-C 2c 2'
_cell_length_a 4.4034
_cell_length_b 15.1560
_cell_length_c 15.6772
_cell_angle_alpha 90.00
_cell_angle_beta 90.00
_cell_angle_gamma 90.00
loop_
_atom_site_label
_atom_site_type_symbol
_atom_site_fract_x
_atom_site_fract_y
_atom_site_fract_z
K1 K 0.0000 0.1198 0.2500
Y1 Y 0.0000 0.3723 0.0564
Zn1 Zn 0.0000 0.1605 0.7500
Te1 Te 0.0000 0.0000 0.0000
Te2 Te 0.0000 0.2654 0.6124
Te3 Te 0.0000 0.4393 0.2500
```



An optimized crystal structure of Pa2Ir2Pb. Source: Alexandria via LeMat-Bulk, functional PBE.

Results
M_tot: 0.00 μB per atom
formation enthalpy at 0 K: -0.72 eV/atom

Cell and atoms, written as CIF:
```
data_Pa2Ir2Pb
_chemical_formula_sum 'Pa4 Ir4 Pb2'
_symmetry_space_group_name_H-M 'P 4/m b m'
_symmetry_Int_Tables_number 127
_symmetry_space_group_name_Hall '-P 4 2ab'
_cell_length_a 7.8642
_cell_length_b 7.8642
_cell_length_c 3.5670
_cell_angle_alpha 90.00
_cell_angle_beta 90.00
_cell_angle_gamma 90.00
loop_
_atom_site_label
_atom_site_type_symbol
_atom_site_fract_x
_atom_site_fract_y
_atom_site_fract_z
Pa1 Pa 0.1685 0.3315 0.0000
Ir1 Ir 0.1307 0.6307 0.5000
Pb1 Pb 0.0000 0.0000 0.5000
```



An optimized crystal structure of Ba6Sb2PSe. Source: Alexandria via LeMat-Bulk, functional PBE.

Results
formation energy from raw total energies: -1.160 eV per atom
M_tot: 0.10 μB per atom

Cell and atoms, written as CIF:
```
data_Ba6Sb2PSe
_chemical_formula_sum 'Ba12 Sb4 P2 Se2'
_symmetry_space_group_name_H-M 'P 1 21/c 1'
_symmetry_Int_Tables_number 14
_cell_length_a 8.0691
_cell_length_b 9.1239
_cell_length_c 14.3472
_cell_angle_alpha 90.00
_cell_angle_beta 124.13
_cell_angle_gamma 90.00
loop_
_symmetry_equiv_pos_as_xyz
'x,y,z'
'-x,-y,-z'
'-x,y+1/2,-z+1/2'
'x,-y+1/2,z+1/2'
loop_
_atom_site_label
_atom_site_type_symbol
_atom_site_fract_x
_atom_site_fract_y
_atom_site_fract_z
Ba1 Ba 0.1096 0.0508 0.2452
Ba2 Ba 0.2406 0.6962 0.0663
Ba3 Ba 0.3848 0.1835 0.0684
Sb1 Sb 0.2915 0.0970 0.7477
P1 P 0.0000 0.0000 0.0000
Se1 Se 0.5000 0.0000 0.5000
```



An optimized crystal structure of HfNiPdAu. Source: Alexandria via LeMat-Bulk, functional PBE.

Results
M_tot: 0.00 μB per atom
formation enthalpy at 0 K: -0.47 eV/atom

Cell and atoms, written as CIF:
```
data_HfNiPdAu
_chemical_formula_sum 'Hf4 Ni4 Pd4 Au4'
_symmetry_space_group_name_H-M 'F -4 3 m'
_symmetry_Int_Tables_number 216
_symmetry_space_group_name_Hall 'F -4 2 3'
_cell_length_a 6.3689
_cell_length_b 6.3689
_cell_length_c 6.3689
_cell_angle_alpha 90.00
_cell_angle_beta 90.00
_cell_angle_gamma 90.00
loop_
_atom_site_label
_atom_site_type_symbol
_atom_site_fract_x
_atom_site_fract_y
_atom_site_fract_z
Hf1 Hf 0.0000 0.0000 0.0000
Ni1 Ni 0.2500 0.2500 0.2500
Pd1 Pd 0.2500 0.2500 0.7500
Au1 Au 0.0000 0.0000 0.5000
```



An optimized crystal structure of FeB2Rh. Source: Alexandria via LeMat-Bulk, functional PBE.

Results
M_tot: 0.00 μB per atom
polymorph energy (0 for the lowest one): 255.0 meV/atom
formation enthalpy at 0 K: 0.26 eV/atom

Cell and atoms, written as CIF:
```
data_FeB2Rh
_chemical_formula_sum 'Fe4 B8 Rh4'
_symmetry_space_group_name_H-M 'I -4 2 d'
_symmetry_Int_Tables_number 122
_symmetry_space_group_name_Hall 'I -4 2bw'
_cell_length_a 5.3850
_cell_length_b 5.3850
_cell_length_c 5.5004
_cell_angle_alpha 90.00
_cell_angle_beta 90.00
_cell_angle_gamma 90.00
loop_
_atom_site_label
_atom_site_type_symbol
_atom_site_fract_x
_atom_site_fract_y
_atom_site_fract_z
Fe1 Fe 0.0000 0.0000 0.0000
B1 B 0.2288 0.2500 0.1250
Rh1 Rh 0.0000 0.0000 0.5000
```



An optimized crystal structure of SnAuC2N. Source: Alexandria via LeMat-Bulk, functional PBE.

Results
formation energy from raw total energies: 3.180 eV per atom
M_tot: 0.79 μB per atom

Cell and atoms, written as CIF:
```
data_SnAuC2N
_chemical_formula_sum 'Sn1 Au1 C2 N1'
_symmetry_space_group_name_H-M 'P 4/m m m'
_symmetry_Int_Tables_number 123
_symmetry_space_group_name_Hall '-P 4 2'
_cell_length_a 4.2110
_cell_length_b 4.2110
_cell_length_c 5.6487
_cell_angle_alpha 90.00
_cell_angle_beta 90.00
_cell_angle_gamma 90.00
loop_
_atom_site_label
_atom_site_type_symbol
_atom_site_fract_x
_atom_site_fract_y
_atom_site_fract_z
Sn1 Sn 0.0000 0.0000 0.0000
Au1 Au 0.0000 0.0000 0.5000
C1 C 0.0000 0.5000 0.0000
N1 N 0.5000 0.5000 0.5000
```